[1]
TlCd6Au4 | PBE | relaxed

abc: 8.1342 8.1342 4.4092
angles: 90.00 90.00 120.00
Positions (direct):
Tl1 0.0000 0.0000 0.0000
Cd1 0.1942 0.3885 0.5000
Cd2 0.1942 0.8058 0.5000
Cd3 0.5328 0.0656 0.0000
Cd4 0.5328 0.4672 0.0000
Cd5 0.6115 0.8058 0.5000
Cd6 0.9344 0.4672 0.0000
Au1 0.3333 0.6667 0.0000
Au2 0.4112 0.2056 0.5000
Au3 0.7944 0.2056 0.5000
Au4 0.7944 0.5888 0.5000

## Properties
Space group   P-6m2 (187)
N(E_F)   2.6 states/eV/f.u.
Formation energy from the elements   -0.13 eV per atom

[2]
Ca2Mg2AlPd5 | PBE | relaxed

abc: 10.6594 10.6594 3.2751
angles: 90.00 90.00 90.00
Positions (direct):
Ca1 0.1703 0.3297 0.0000
Ca2 0.3297 0.8297 0.0000
Ca3 0.6703 0.1703 0.0000
Ca4 0.8297 0.6703 0.0000
Mg1 0.1332 0.6332 0.0000
Mg2 0.3668 0.1332 0.0000
Mg3 0.6332 0.8668 0.0000
Mg4 0.8668 0.3668 0.0000
Al1 0.0000 0.0000 0.0000
Al2 0.5000 0.5000 0.0000
Pd1 0.0000 0.5000 0.5000
Pd2 0.0502 0.8134 0.5000
Pd3 0.1866 0.0502 0.5000
Pd4 0.3134 0.5502 0.5000
Pd5 0.4498 0.3134 0.5000
Pd6 0.5000 0.0000 0.5000
Pd7 0.5502 0.6866 0.5000
Pd8 0.6866 0.4498 0.5000
Pd9 0.8134 0.9498 0.5000
Pd10 0.9498 0.1866 0.5000

## Properties
Space group   P4/mbm (127)
N(E_F)   2.9 states/eV/f.u.
Formation energy from the elements   -0.64 eV per atom

[3]
AcMnNi10 | PBE | relaxed

abc: 4.0228 4.8179 8.5023
angles: 90.00 90.00 90.00
Positions (direct):
Ac1 0.0000 0.0000 0.0000
Mn1 0.0000 0.5000 0.5000
Ni1 0.0000 0.0000 0.3506
Ni2 0.0000 0.0000 0.6494
Ni3 0.0000 0.5000 0.1992
Ni4 0.0000 0.5000 0.8008
Ni5 0.5000 0.0000 0.5000
Ni6 0.5000 0.2549 0.2640
Ni7 0.5000 0.2549 0.7360
Ni8 0.5000 0.5000 0.0000
Ni9 0.5000 0.7451 0.2640
Ni10 0.5000 0.7451 0.7360

## Properties
Space group   Pmmm (47)
N(E_F)   14.1 states/eV/f.u.
Formation energy from the elements   -0.02 eV per atom

[4]
BeFeP | PBE | relaxed

abc: 3.6506 3.6506 2.8049
angles: 90.00 90.00 120.00
Positions (direct):
Be1 0.0000 0.0000 0.0000
Fe1 0.6667 0.3333 0.5000
P1 0.3333 0.6667 0.5000

## Properties
Space group   P-6m2 (187)
N(E_F)   1.3 states/eV/f.u.
Formation energy from the elements   -0.09 eV per atom
Excess energy over the best structure of this formula in the dataset   310 meV per atom

[5]
NaB3Pb | PBE | relaxed

abc: 4.5511 4.5511 4.5511
angles: 90.00 90.00 90.00
Positions (direct):
Na1 0.0000 0.0000 0.0000
B1 0.0000 0.0000 0.5000
B2 0.0000 0.5000 0.0000
B3 0.5000 0.0000 0.0000
Pb1 0.5000 0.5000 0.5000

## Properties
Space group   Pm-3m (221)
N(E_F)   2.9 states/eV/f.u.
Formation energy from the elements   2.47 eV per atom
Excess energy over the best structure of this formula in the dataset   256 meV per atom

[6]
InSi2 | PBE | relaxed

abc: 10.2038 10.2038 3.6320
angles: 90.00 90.00 161.01
Positions (direct):
In1 0.1185 0.8815 0.7500
In2 0.8815 0.1185 0.2500
Si1 0.2620 0.7380 0.2500
Si2 0.4620 0.5380 0.7500
Si3 0.5380 0.4620 0.2500
Si4 0.7380 0.2620 0.7500

## Properties
Space group   Cmcm (63)
N(E_F)   1.2 states/eV/f.u.
Excess energy over the best structure of this formula in the dataset   169 meV per atom